Entry 1:
This record from Alexandria via LeMat-Bulk describes an optimized crystal structure of Er3TmS4. The functional is PBE-GGA.

Results
* V: 20.29 Å³ per atom
* formation energy from raw total energies: -1945.2 meV/atom
* calculated total energy: -100.46 eV for the cell shown
* energy relative to the lowest polymorph listed for this composition: 0 meV per atom

Lattice parameters (Å, degrees): 7.775 10.917 3.825 90.00 90.00 90.00
Space group Cmmm (No. 65)
Asymmetric unit:
Er (0.000, 0.000, 0.000) (multiplicity 2)
Er (0.250, 0.250, 0.500) (multiplicity 4)
Tm (0.000, 0.500, 0.000) (multiplicity 2)
S (0.000, 0.251, 0.000) (multiplicity 4)
S (0.248, 0.500, 0.500) (multiplicity 4)

Entry 2:
This record from Alexandria via LeMat-Bulk describes an optimized crystal structure of Y3ErTm4S8. The functional is PBE-GGA.

Results
* V: 20.56 Å³ per atom
* formation energy from raw total energies: -1954.1 meV/atom
* calculated total energy: -318.38 eV for the cell shown

Lattice parameters (Å, degrees): 7.7394 7.7394 19.0259 90.00 90.00 120.00
Space group R-3m (No. 166, hexagonal axes)
Asymmetric unit:
Y (0.0000, 0.5000, 0.0000) (multiplicity 9)
Er (0.0000, 0.0000, 0.0000) (multiplicity 3)
Tm (0.0000, 0.0000, 0.5000) (multiplicity 3)
Tm (0.0000, 0.5000, 0.5000) (multiplicity 9)
S (0.0000, 0.0000, 0.2474) (multiplicity 6)
S (0.0024, 0.5012, 0.7520) (multiplicity 18)

Entry 3:
This record from Alexandria via LeMat-Bulk describes an optimized crystal structure of YEr2TmS4. The functional is PBE-GGA.

Results
* V: 20.52 Å³ per atom
* formation energy from raw total energies: -1955.1 meV/atom
* calculated total energy: -52.21 eV for the cell shown

Lattice parameters (Å, degrees): 6.721 3.839 6.732 90.00 109.08 90.00
Space group P2/m (No. 10)
Asymmetric unit:
Y (0.000, 0.000, 0.000) (multiplicity 1)
Er (0.500, 0.000, 0.500) (multiplicity 1)
Er (0.500, 0.500, 0.000) (multiplicity 1)
Tm (0.000, 0.500, 0.500) (multiplicity 1)
S (0.250, 0.000, 0.747) (multiplicity 2)
S (0.253, 0.500, 0.254) (multiplicity 2)

Entry 4:
This record from Alexandria via LeMat-Bulk describes an optimized crystal structure of YErTm4S8. The functional is PBE-GGA.

Results
* V: 25.47 Å³ per atom
* formation energy from raw total energies: -1921.5 meV/atom
* calculated total energy: -266.50 eV for the cell shown

Lattice parameters (Å, degrees): 7.9565 7.9565 19.5129 90.00 90.00 120.00
Space group R3m (No. 160, hexagonal axes)
Asymmetric unit:
Y (0.0000, 0.0000, 0.0000) (multiplicity 3)
Er (0.0000, 0.0000, 0.6252) (multiplicity 3)
Tm (0.0000, 0.0000, 0.2504) (multiplicity 3)
Tm (0.0005, 0.5002, 0.1254) (multiplicity 9)
S (0.0000, 0.0000, 0.3828) (multiplicity 3)
S (0.0000, 0.0000, 0.8659) (multiplicity 3)
S (0.0231, 0.5116, 0.3788) (multiplicity 9)
S (0.1760, 0.3521, 0.2058) (multiplicity 9)

Entry 5:
This record from Alexandria via LeMat-Bulk describes an optimized crystal structure of Y2ErTm3S6. The functional is PBE-GGA.

Results
* V: 20.50 Å³ per atom
* formation energy from raw total energies: -1956.6 meV/atom
* calculated total energy: -158.30 eV for the cell shown

Lattice parameters (Å, degrees): 16.864 3.862 7.773 90.00 103.59 90.00
Space group C2/m (No. 12)
Asymmetric unit:
Y (0.167, 0.000, 0.334) (multiplicity 4)
Er (0.000, 0.500, 0.000) (multiplicity 2)
Tm (0.000, 0.500, 0.500) (multiplicity 2)
Tm (0.167, 0.000, 0.833) (multiplicity 4)
S (0.002, 0.000, 0.750) (multiplicity 4)
S (0.165, 0.500, 0.587) (multiplicity 4)
S (0.167, 0.500, 0.078) (multiplicity 4)

Entry 6:
This record from Alexandria via LeMat-Bulk describes an optimized crystal structure of Y4ErTm3S8. The functional is PBE-GGA.

Results
* V: 20.72 Å³ per atom
* formation energy from raw total energies: -1963.1 meV/atom
* calculated total energy: -324.79 eV for the cell shown

Lattice parameters (Å, degrees): 7.7552 7.7552 19.0964 90.00 90.00 120.00
Space group R-3m (No. 166, hexagonal axes)
Asymmetric unit:
Y (0.0000, 0.0000, 0.0000) (multiplicity 3)
Y (0.0000, 0.5000, 0.0000) (multiplicity 9)
Er (0.0000, 0.0000, 0.5000) (multiplicity 3)
Tm (0.0000, 0.5000, 0.5000) (multiplicity 9)
S (0.0000, 0.0000, 0.2474) (multiplicity 6)
S (0.0011, 0.5005, 0.7524) (multiplicity 18)

Please write out number 1 again, unchanged.
This record from Alexandria via LeMat-Bulk describes an optimized crystal structure of Er3TmS4. The functional is PBE-GGA.

Results
* V: 20.29 Å³ per atom
* formation energy from raw total energies: -1945.2 meV/atom
* calculated total energy: -100.46 eV for the cell shown
* energy relative to the lowest polymorph listed for this composition: 0 meV per atom

Lattice parameters (Å, degrees): 7.775 10.917 3.825 90.00 90.00 90.00
Space group Cmmm (No. 65)
Asymmetric unit:
Er (0.000, 0.000, 0.000) (multiplicity 2)
Er (0.250, 0.250, 0.500) (multiplicity 4)
Tm (0.000, 0.500, 0.000) (multiplicity 2)
S (0.000, 0.251, 0.000) (multiplicity 4)
S (0.248, 0.500, 0.500) (multiplicity 4)